{
  "formula": "CsAgPb2Cl8",
  "functional": "GGA-PBE",
  "state": "relaxed",
  "sg": "P2/m",
  "magmom_total_mub_per_fu": 0.00,
  "energy_ev_per_cell": -37.26,
  "cell": [[6.8092, 0.4498, -0.0055], [0.5523, 6.8193, -0.0094], [0.0072, 0.0096, 8.9751]],
  "species": ["Ag", "Cl", "Cl", "Cl", "Cl", "Cl", "Cl", "Cl", "Cl", "Pb", "Pb", "Cs"],
  "frac_coords": [[0.0000, 0.0000, 0.0000], [0.1417, 0.7603, 0.1882], [0.3766, 0.2992, 0.5000], [0.1417, 0.7603, 0.8119], [0.6234, 0.7008, 0.5000], [0.6337, 0.7188, 0.0000], [0.3663, 0.2812, 0.0000], [0.8583, 0.2397, 0.8118], [0.8583, 0.2397, 0.1881], [0.5000, 0.5000, 0.2341], [0.5000, 0.5000, 0.7659], [0.0000, 0.0000, 0.5000]]
}